Arrangement a

# CrI2NF

Crystalline CrI2NF at its relaxed geometry (GGA+U, the Alexandria database).

CIF file:
```
data_CrI2NF
_chemical_formula_sum 'Cr1 I2 N1 F1'
_cell_length_a 5.6264
_cell_length_b 5.6264
_cell_length_c 3.7348
_cell_angle_alpha 90.00
_cell_angle_beta 90.00
_cell_angle_gamma 90.00
_space_group_name_H-M_alt 'P 1'
_space_group_IT_number 1
loop_
_space_group_symop_operation_xyz
'x,y,z'
loop_
_atom_site_label
_atom_site_fract_x
_atom_site_fract_y
_atom_site_fract_z
Cr1 0.0000 0.0000 0.0000
I1 0.0000 0.5000 0.5000
I2 0.5000 0.0000 0.5000
N1 0.5000 0.5000 0.0000
F1 0.5000 0.5000 0.5000
```

Output
Volume in Å³/atom: 23.65
Space-group type: P4/mmm, No. 123

=====

Arrangement b

# CrI2NF

Crystalline CrI2NF at its relaxed geometry (GGA+U, the Alexandria database).

CIF file:
```
data_CrI2NF
_chemical_formula_sum 'Cr1 I2 N1 F1'
_cell_length_a 5.5087
_cell_length_b 5.5087
_cell_length_c 3.5803
_cell_angle_alpha 90.00
_cell_angle_beta 90.00
_cell_angle_gamma 90.00
_space_group_name_H-M_alt 'P 1'
_space_group_IT_number 1
loop_
_space_group_symop_operation_xyz
'x,y,z'
loop_
_atom_site_label
_atom_site_fract_x
_atom_site_fract_y
_atom_site_fract_z
Cr1 0.0000 0.0000 0.0000
I1 0.0000 0.5000 0.0000
I2 0.5000 0.0000 0.0000
N1 0.0000 0.0000 0.5000
F1 0.5000 0.5000 0.5000
```

Output
Volume in Å³/atom: 21.73
Space-group type: P4/mmm, No. 123

=====

Which one sits at the top of the stability order? arrangement b does.

=====

Arrangement a

# CrTeI2F

Crystalline CrTeI2F at its relaxed geometry (GGA+U, the Alexandria database).

CIF file:
```
data_CrTeI2F
_chemical_formula_sum 'Cr1 Te1 I2 F1'
_cell_length_a 5.4753
_cell_length_b 5.4753
_cell_length_c 5.4430
_cell_angle_alpha 90.00
_cell_angle_beta 90.00
_cell_angle_gamma 90.00
_space_group_name_H-M_alt 'P 1'
_space_group_IT_number 1
loop_
_space_group_symop_operation_xyz
'x,y,z'
loop_
_atom_site_label
_atom_site_fract_x
_atom_site_fract_y
_atom_site_fract_z
Cr1 0.0000 0.0000 0.0000
Te1 0.0000 0.0000 0.5000
I1 0.0000 0.5000 0.0000
I2 0.5000 0.0000 0.0000
F1 0.5000 0.5000 0.5000
```

Output
Volume in Å³/atom: 32.63
Space-group type: P4/mmm, No. 123

=====

Arrangement b

# CrTeI2F

Crystalline CrTeI2F at its relaxed geometry (GGA+U, the Alexandria database).

CIF file:
```
data_CrTeI2F
_chemical_formula_sum 'Cr1 Te1 I2 F1'
_cell_length_a 6.0195
_cell_length_b 6.0195
_cell_length_c 4.2234
_cell_angle_alpha 90.00
_cell_angle_beta 90.00
_cell_angle_gamma 90.00
_space_group_name_H-M_alt 'P 1'
_space_group_IT_number 1
loop_
_space_group_symop_operation_xyz
'x,y,z'
loop_
_atom_site_label
_atom_site_fract_x
_atom_site_fract_y
_atom_site_fract_z
Cr1 0.0000 0.0000 0.0000
Te1 0.5000 0.5000 0.0000
I1 0.0000 0.5000 0.5000
I2 0.5000 0.0000 0.5000
F1 0.5000 0.5000 0.5000
```

Output
Volume in Å³/atom: 30.61
Space-group type: P4/mmm, No. 123

=====

Which one sits at the top of the stability order? arrangement b does.

=====

Arrangement a

# CrInF3

Crystalline CrInF3 at its relaxed geometry (GGA+U, the Alexandria database).

CIF file:
```
data_CrInF3
_chemical_formula_sum 'Cr2 In2 F6'
_cell_length_a 5.7545
_cell_length_b 5.7545
_cell_length_c 7.2896
_cell_angle_alpha 100.16
_cell_angle_beta 100.16
_cell_angle_gamma 48.60
_space_group_name_H-M_alt 'P 1'
_space_group_IT_number 1
loop_
_space_group_symop_operation_xyz
'x,y,z'
loop_
_atom_site_label
_atom_site_fract_x
_atom_site_fract_y
_atom_site_fract_z
Cr1 0.1310 0.1310 0.4133
Cr2 0.8690 0.8690 0.5867
In1 0.3883 0.3883 0.1484
In2 0.6117 0.6117 0.8516
F1 0.0703 0.0703 0.6692
F2 0.1635 0.1635 0.1514
F3 0.3268 0.3268 0.5105
F4 0.6732 0.6732 0.4895
F5 0.8365 0.8365 0.8486
F6 0.9297 0.9297 0.3308
```

Output
Volume in Å³/atom: 17.76
Space-group type: C2/m, No. 12

=====

Arrangement b

# CrInF3

Crystalline CrInF3 at its relaxed geometry (GGA+U, the Alexandria database).

CIF file:
```
data_CrInF3
_chemical_formula_sum 'Cr1 In1 F3'
_cell_length_a 4.4335
_cell_length_b 4.4335
_cell_length_c 4.4335
_cell_angle_alpha 90.00
_cell_angle_beta 90.00
_cell_angle_gamma 90.00
_space_group_name_H-M_alt 'P 1'
_space_group_IT_number 1
loop_
_space_group_symop_operation_xyz
'x,y,z'
loop_
_atom_site_label
_atom_site_fract_x
_atom_site_fract_y
_atom_site_fract_z
Cr1 0.0000 0.0000 0.0000
In1 0.5000 0.5000 0.5000
F1 0.0000 0.5000 0.5000
F2 0.5000 0.0000 0.5000
F3 0.5000 0.5000 0.0000
```

Output
Volume in Å³/atom: 17.43
Space-group type: Pm-3m, No. 221

=====

Arrangement c

# CrInF3

Crystalline CrInF3 at its relaxed geometry (GGA+U, the Alexandria database).

CIF file:
```
data_CrInF3
_chemical_formula_sum 'Cr2 In2 F6'
_cell_length_a 8.2643
_cell_length_b 8.2643
_cell_length_c 9.3391
_cell_angle_alpha 124.14
_cell_angle_beta 124.14
_cell_angle_gamma 22.46
_space_group_name_H-M_alt 'P 1'
_space_group_IT_number 1
loop_
_space_group_symop_operation_xyz
'x,y,z'
loop_
_atom_site_label
_atom_site_fract_x
_atom_site_fract_y
_atom_site_fract_z
Cr1 0.1472 0.1472 0.3106
Cr2 0.8528 0.8528 0.6894
In1 0.3723 0.3723 0.1218
In2 0.6277 0.6277 0.8782
F1 0.1080 0.1080 0.0354
F2 0.2582 0.2582 0.6330
F3 0.4429 0.4429 0.7182
F4 0.5571 0.5571 0.2818
F5 0.7418 0.7418 0.3670
F6 0.8920 0.8920 0.9646
```

Output
Volume in Å³/atom: 19.99
Space-group type: C2/m, No. 12

=====

Which one sits at the top of the stability order? arrangement a does.

=====

Arrangement a

# CrInF2

Crystalline CrInF2 at its relaxed geometry (GGA+U, the Alexandria database).

CIF file:
```
data_CrInF2
_chemical_formula_sum 'Cr2 In2 F4'
_cell_length_a 6.8071
_cell_length_b 6.8071
_cell_length_c 6.8071
_cell_angle_alpha 132.18
_cell_angle_beta 132.18
_cell_angle_gamma 69.95
_space_group_name_H-M_alt 'P 1'
_space_group_IT_number 1
loop_
_space_group_symop_operation_xyz
'x,y,z'
loop_
_atom_site_label
_atom_site_fract_x
_atom_site_fract_y
_atom_site_fract_z
Cr1 0.0000 0.0000 0.0000
Cr2 0.7500 0.2500 0.5000
In1 0.2500 0.7500 0.5000
In2 0.5000 0.5000 0.0000
F1 0.0217 0.6250 0.8967
F2 0.3750 0.2717 0.3967
F3 0.7283 0.1250 0.1033
F4 0.8750 0.9783 0.6033
```

Output
Volume in Å³/atom: 21.23
Space-group type: I-42d, No. 122

=====

Arrangement b

# CrInF2

Crystalline CrInF2 at its relaxed geometry (GGA+U, the Alexandria database).

CIF file:
```
data_CrInF2
_chemical_formula_sum 'Cr1 In1 F2'
_cell_length_a 4.4925
_cell_length_b 4.4925
_cell_length_c 4.4925
_cell_angle_alpha 60.00
_cell_angle_beta 60.00
_cell_angle_gamma 60.00
_space_group_name_H-M_alt 'P 1'
_space_group_IT_number 1
loop_
_space_group_symop_operation_xyz
'x,y,z'
loop_
_atom_site_label
_atom_site_fract_x
_atom_site_fract_y
_atom_site_fract_z
Cr1 0.0000 0.0000 0.0000
In1 0.5000 0.5000 0.5000
F1 0.2500 0.2500 0.2500
F2 0.7500 0.7500 0.7500
```

Output
Volume in Å³/atom: 16.03
Space-group type: Fm-3m, No. 225

=====

Which one sits at the top of the stability order? arrangement a does.

=====

Arrangement a

# CrIn2F8

Crystalline CrIn2F8 at its relaxed geometry (GGA+U, the Alexandria database).

CIF file:
```
data_CrIn2F8
_chemical_formula_sum 'Cr1 In2 F8'
_cell_length_a 6.3819
_cell_length_b 6.3819
_cell_length_c 4.4176
_cell_angle_alpha 90.27
_cell_angle_beta 90.27
_cell_angle_gamma 66.44
_space_group_name_H-M_alt 'P 1'
_space_group_IT_number 1
loop_
_space_group_symop_operation_xyz
'x,y,z'
loop_
_atom_site_label
_atom_site_fract_x
_atom_site_fract_y
_atom_site_fract_z
Cr1 0.0000 0.0000 0.0000
In1 0.3706 0.3706 0.7514
In2 0.6294 0.6294 0.2486
F1 0.1124 0.6914 0.7736
F2 0.1836 0.1836 0.7366
F3 0.3086 0.8876 0.2264
F4 0.4172 0.4172 0.2563
F5 0.5828 0.5828 0.7437
F6 0.6914 0.1124 0.7736
F7 0.8164 0.8164 0.2634
F8 0.8876 0.3086 0.2264
```

Output
Volume in Å³/atom: 14.99
Space-group type: C2/m, No. 12

=====

Arrangement b

# CrIn2F8

Crystalline CrIn2F8 at its relaxed geometry (GGA+U, the Alexandria database).

CIF file:
```
data_CrIn2F8
_chemical_formula_sum 'Cr1 In2 F8'
_cell_length_a 5.6001
_cell_length_b 5.6001
_cell_length_c 5.2561
_cell_angle_alpha 100.21
_cell_angle_beta 100.21
_cell_angle_gamma 74.28
_space_group_name_H-M_alt 'P 1'
_space_group_IT_number 1
loop_
_space_group_symop_operation_xyz
'x,y,z'
loop_
_atom_site_label
_atom_site_fract_x
_atom_site_fract_y
_atom_site_fract_z
Cr1 0.0000 0.0000 0.0000
In1 0.3186 0.3186 0.5622
In2 0.6814 0.6814 0.4378
F1 0.0467 0.6626 0.6942
F2 0.1686 0.1686 0.8113
F3 0.3374 0.9533 0.3058
F4 0.4391 0.4391 0.2544
F5 0.5609 0.5609 0.7456
F6 0.6626 0.0467 0.6942
F7 0.8314 0.8314 0.1887
F8 0.9533 0.3374 0.3058
```

Output
Volume in Å³/atom: 14.06
Space-group type: C2/m, No. 12

=====

Which one sits at the top of the stability order? arrangement b does.

=====

Arrangement a

# CrInNF2

Crystalline CrInNF2 at its relaxed geometry (GGA+U, the Alexandria database).

CIF file:
```
data_CrInNF2
_chemical_formula_sum 'Cr1 In1 N1 F2'
_cell_length_a 4.2364
_cell_length_b 4.2364
_cell_length_c 4.2540
_cell_angle_alpha 90.00
_cell_angle_beta 90.00
_cell_angle_gamma 90.00
_space_group_name_H-M_alt 'P 1'
_space_group_IT_number 1
loop_
_space_group_symop_operation_xyz
'x,y,z'
loop_
_atom_site_label
_atom_site_fract_x
_atom_site_fract_y
_atom_site_fract_z
Cr1 0.0000 0.0000 0.0000
In1 0.5000 0.5000 0.5000
N1 0.5000 0.5000 0.0000
F1 0.0000 0.5000 0.5000
F2 0.5000 0.0000 0.5000
```

Output
Volume in Å³/atom: 15.27
Space-group type: P4/mmm, No. 123

=====

Arrangement b

# CrInNF2

Crystalline CrInNF2 at its relaxed geometry (GGA+U, the Alexandria database).

CIF file:
```
data_CrInNF2
_chemical_formula_sum 'Cr1 In1 N1 F2'
_cell_length_a 4.2234
_cell_length_b 4.2234
_cell_length_c 3.9097
_cell_angle_alpha 90.00
_cell_angle_beta 90.00
_cell_angle_gamma 90.00
_space_group_name_H-M_alt 'P 1'
_space_group_IT_number 1
loop_
_space_group_symop_operation_xyz
'x,y,z'
loop_
_atom_site_label
_atom_site_fract_x
_atom_site_fract_y
_atom_site_fract_z
Cr1 0.0000 0.0000 0.0000
In1 0.5000 0.5000 0.5000
N1 0.0000 0.0000 0.5000
F1 0.0000 0.5000 0.0000
F2 0.5000 0.0000 0.0000
```

Output
Volume in Å³/atom: 13.95
Space-group type: P4/mmm, No. 123

=====

Which one sits at the top of the stability order? arrangement b does.